Here is an optimized crystal structure of MnAg3N from Alexandria via LeMat-Bulk. Energies are from GGA-PBEsol.

a b c (Å): 4.855 4.855 4.855
angles (deg): 90.00 90.00 90.00
Last column: magnetic moment on the atom in μB.
Fractional coordinates of all 5 atoms:
1 Ag 0.000 0.000 0.500  0.11
2 Ag 0.500 0.000 0.000  0.11
3 Ag 0.000 0.500 0.000  0.11
4 Mn 0.000 0.000 0.000  3.94
5 N 0.500 0.500 0.500  1.57

Results
The calculation puts the theoretical density at 5.7 g cm⁻³. The total DFT energy (no corrections) comes out at -3.55 eV/atom. The uncorrected formation energy is 2.098 eV per atom. Its symmetry is Pm-3m.